No. 1
5
Lattice="-1.970 0.467 3.709 -3.157 -2.665 -1.342 2.191 -3.396 1.591" Properties=species:S:1:pos:R:3 comment="LiCd2TcIr (SCAN, single point on PBEsol structure)" final_energy_ha_per_atom=-1.214 magmom_total_mub_per_cell=2.928 crystal_system=tetragonal n_ef_per_ev_atom=0.476 pbc="T T T"
Cd 1.096 -1.698 0.796
Cd -1.578 -1.333 -0.671
Ir -0.985 0.233 1.855
Li 0.000 0.000 0.000
Tc -1.468 -2.797 1.979



No. 2
28
Lattice="-4.142 -0.070 -5.556 -1.138 -5.231 4.915 -2.615 7.417 4.178" Properties=species:S:1:pos:R:3 comment="Sr2V3O9 (SCAN, single point on PBEsol structure)" magmom_total_mub_per_cell=2.000 formation_energy_uncorrected_kj_per_mol_fu=-4007 crystal_system=monoclinic pbc="T T T"
O -2.913 3.493 1.032
O -2.293 -2.306 2.984
O -5.943 -3.215 0.592
O -3.606 2.863 7.855
V -4.613 3.234 1.235
V -6.008 0.825 -0.891
O -1.950 5.325 2.972
O -1.992 2.729 3.566
O -4.953 3.239 2.897
O -4.940 1.720 0.457
Sr -3.700 4.302 4.878
O -4.297 -0.752 -4.307
V -3.278 -1.109 2.295
O -5.587 4.423 0.518
V -3.958 1.407 7.103
O -3.556 1.578 5.396
Sr -4.194 -2.207 -1.315
O -2.945 0.390 3.095
Sr -2.335 1.180 -0.430
O -4.458 6.352 2.367
O -5.957 -0.633 -0.080
O -4.326 0.521 -1.840
V -3.937 0.693 -3.548
O -3.435 -4.251 1.173
V -1.384 3.589 2.271
Sr -5.542 0.957 3.964
O -2.959 -1.092 0.629
O -4.975 -1.380 2.522



No. 3
4
Lattice="6.576 0.000 0.000 3.288 5.695 0.000 3.288 1.898 5.369" Properties=species:S:1:pos:R:3 comment="RbNa2Sr (SCAN, single point on PBEsol structure)" final_energy_ha_per_atom=-0.469 magmom_total_mub_per_cell=0.009 crystal_system=cubic n_ef_per_ev_atom=0.601 pbc="T T T"
Sr 6.576 3.797 2.685
Na 3.288 1.898 1.342
Na 9.864 5.695 4.027
Rb 0.000 0.000 0.000